# CeCr2FeO6, optimized geometry, DFT PBE+U
# Total magnetization in μB per atom: 1.0005
# Raw total energy in eV/atom: -7.839
data_CeCr2FeO6
_space_group_name_H-M_alt 'P 1'
_space_group_IT_number 1
_space_group_name_Hall 'P 1'
_cell_length_a 5.373
_cell_length_b 5.375
_cell_length_c 5.514
_cell_angle_alpha 61.31
_cell_angle_beta 61.41
_cell_angle_gamma 60.29
loop_
_atom_site_label
_atom_site_type_symbol
_atom_site_fract_x
_atom_site_fract_y
_atom_site_fract_z
Ce1 Ce 0.000 0.000 0.000
Cr1 Cr 0.278 0.274 0.175
Cr2 Cr 0.781 0.779 0.663
Fe1 Fe 0.487 0.483 0.537
O1 O 0.053 0.630 0.892
O2 O 0.158 0.551 0.391
O3 O 0.428 0.050 0.889
O4 O 0.562 0.909 0.383
O5 O 0.632 0.428 0.880
O6 O 0.914 0.148 0.392